No. 1
A plane-wave DFT calculation with PBE was carried out for a geometry-optimized AcMg8Cu4 structure.

Cell and atoms, written as extended XYZ:
```
13
Lattice="5.0351 0.0000 2.0239 2.5175 6.8861 1.0119 -0.0507 0.0000 7.4012" Properties=species:S:1:pos:R:3 pbc="T T T"
Ac 0.0000 0.0000 0.0000
Mg 0.8382 2.3835 5.1897
Mg 1.6286 4.5027 3.2234
Mg 3.3558 4.5027 6.2017
Mg 4.1461 2.3835 4.2354
Mg 4.4672 5.3636 3.4366
Mg 3.0347 1.5226 7.0004
Mg 1.9497 1.5226 2.4247
Mg 5.5522 5.3636 8.0124
Cu -0.0253 0.0000 3.7006
Cu 2.4922 0.0000 4.7126
Cu 1.2588 3.4431 0.5060
Cu 3.7763 3.4431 1.5179
```

Output
calculated formation energy = -0.0892 eV per atom
space group = I4/mmm (139)
crystal system = tetragonal
calculated total energy = -2.647 eV/atom
DOS at the Fermi energy = 0.584 states/eV per atom

No. 2
A plane-wave DFT calculation with PBE was carried out for a geometry-optimized TbPr2HoSe4 structure.

Cell and atoms, written as extended XYZ:
```
8
Lattice="4.0958 0.0000 0.0000 0.0000 7.1407 0.1346 0.0000 -2.4880 6.9736" Properties=species:S:1:pos:R:3 pbc="T T T"
Tb 2.0479 3.5704 0.0673
Pr 2.0479 -1.2440 3.4868
Pr 0.0000 2.3263 3.5541
Ho 0.0000 0.0000 0.0000
Se 2.0479 1.1504 1.6474
Se 2.0479 3.5023 5.4608
Se 0.0000 -0.0944 5.3842
Se 0.0000 4.7471 1.7240
```

Output
space group = P2/m (10)
crystal system = monoclinic
uncorrected formation energy = -1802 meV/atom
calculated total energy = -5.890 eV/atom
DOS at the Fermi energy = 0.486 states/eV per atom

No. 3
A plane-wave DFT calculation with PBE was carried out for a geometry-optimized CeHoEr2Sb4 structure.

Cell and atoms, written as extended XYZ:
```
8
Lattice="4.3947 0.0000 0.0000 0.0000 7.6010 -0.1533 0.0000 2.6718 7.1207" Properties=species:S:1:pos:R:3 pbc="T T T"
Ce 2.1974 3.8005 -0.0767
Ho 0.0000 5.1364 3.4837
Er 0.0000 2.6718 7.1207
Er 2.1974 1.3359 3.5604
Sb 0.0001 7.7356 5.1875
Sb 4.3947 2.5372 1.7799
Sb 2.1974 6.3973 1.6767
Sb 2.1974 3.8756 5.2907
```

Output
space group = P2/m (10)
crystal system = monoclinic
uncorrected formation energy = -1084 meV/atom
calculated total energy = -5.600 eV/atom
DOS at the Fermi energy = 0.921 states/eV per atom